VASP calculation (GGA-PBE) on an optimized crystal structure of LiNd3Dy2S6.

Unit cell a=6.8555 b=6.8555 c=6.9329 alpha=99.50 beta=99.50 gamma=120.16
Fractional coordinates of all 12 atoms:
S  0.9226  0.5942  0.7667
Li  0.0000  0.0000  0.0000
Nd  0.1652  0.8348  0.5000
Nd  0.5000  0.5000  0.5000
Dy  0.3344  0.6656  0.0000
S  0.5942  0.9226  0.7667
S  0.4058  0.0774  0.2333
S  0.7503  0.7503  0.2302
Dy  0.6656  0.3344  0.0000
Nd  0.8348  0.1652  0.5000
S  0.2497  0.2497  0.7698
S  0.0774  0.4058  0.2333

Summary:
Its formation energy from raw total energies is -1.9604 eV per atom.

---

VASP calculation (GGA-PBE) on an optimized crystal structure of Li2NdDyS4.

Unit cell a=3.9870 b=6.9099 c=6.6148 alpha=110.39 beta=90.00 gamma=90.00
Fractional coordinates of all 8 atoms:
Nd  0.0000  0.0000  0.0000
Li  0.5000  0.0000  0.5000
S  0.5000  0.7401  0.7448
Li  0.0000  0.5000  0.5000
Dy  0.5000  0.5000  0.0000
S  0.0000  0.7431  0.2516
S  0.0000  0.2569  0.7484
S  0.5000  0.2599  0.2552

Summary:
Its formation energy from raw total energies is -1.8091 eV per atom.

---

VASP calculation (GGA-PBE) on an optimized crystal structure of LiNd3Dy3S8.

Unit cell a=7.8916 b=7.8913 c=7.9465 alpha=119.77 beta=90.00 gamma=120.00
Fractional coordinates of all 15 atoms:
Nd  0.5000  0.5000  0.0000
S  0.7561  0.0087  0.2648
S  0.2526  0.0087  0.2648
S  0.7474  0.9913  0.7352
Li  0.0000  0.0000  0.5000
S  0.2439  0.4877  0.7352
S  0.7458  0.4916  0.7373
Dy  0.5000  0.5000  0.5000
Nd  0.0000  0.5000  0.0000
Nd  0.0000  0.0000  0.0000
S  0.2542  0.5084  0.2627
Dy  0.5000  0.0000  0.5000
S  0.2439  0.9913  0.7352
Dy  0.0000  0.5000  0.5000
S  0.7561  0.5123  0.2648

Summary:
Its formation energy from raw total energies is -1.9882 eV per atom.

---

VASP calculation (GGA-PBE) on an optimized crystal structure of LiNd2DyS5.

Unit cell a=3.9858 b=8.4931 c=11.9221 alpha=90.00 beta=90.00 gamma=103.57
Fractional coordinates of all 18 atoms:
S  0.5007  0.0014  0.7841
Nd  0.8918  0.7836  0.1852
Dy  0.8026  0.6052  0.5020
S  0.3076  0.6151  0.3444
S  0.9532  0.9064  0.5703
S  0.6373  0.2747  0.4986
S  0.2871  0.5741  0.6601
Nd  0.1082  0.2164  0.6852
Dy  0.1974  0.3948  0.0020
Li  0.5140  0.0281  0.9819
Nd  0.1242  0.2484  0.2973
S  0.7129  0.4259  0.1601
S  0.3627  0.7253  0.9986
Nd  0.8758  0.7516  0.7973
S  0.6924  0.3849  0.8444
Li  0.4860  0.9719  0.4819
S  0.4993  0.9986  0.2841
S  0.0468  0.0936  0.0703

Summary:
Its formation energy from raw total energies is -1.9195 eV per atom.

---

VASP calculation (GGA-PBE) on an optimized crystal structure of Li2Nd2DySb2.

Unit cell a=4.7661 b=4.7661 c=9.5207 alpha=75.50 beta=75.50 gamma=60.00
Fractional coordinates of all 7 atoms:
Li  0.3993  0.3993  0.8022
Sb  0.7310  0.7310  0.8070
Sb  0.2690  0.2690  0.1930
Nd  0.1282  0.1282  0.6154
Li  0.6007  0.6007  0.1978
Dy  0.0000  0.0000  0.0000
Nd  0.8718  0.8718  0.3846

Summary:
Its formation energy from raw total energies is -0.5862 eV per atom.

---

VASP calculation (GGA-PBE) on an optimized crystal structure of LiNdDySc.

Unit cell a=5.3984 b=5.3984 c=5.3984 alpha=60.00 beta=60.00 gamma=60.00
Fractional coordinates of all 4 atoms:
Li  0.0000  0.0000  0.0000
Dy  0.7500  0.7500  0.7500
Sc  0.5000  0.5000  0.5000
Nd  0.2500  0.2500  0.2500

Summary:
As for the energy of formation: 0.146 eV per atom.

---

VASP calculation (GGA-PBE) on an optimized crystal structure of Li2Nd3DySe6.

Unit cell a=7.1589 b=7.1589 c=7.1331 alpha=99.63 beta=99.63 gamma=120.00
Fractional coordinates of all 12 atoms:
Nd  0.1671  0.8329  0.5000
Se  0.2582  0.2582  0.7658
Nd  0.5000  0.5000  0.5000
Se  0.5858  0.9223  0.7672
Se  0.7418  0.7418  0.2342
Se  0.0777  0.4142  0.2328
Dy  0.0000  0.0000  0.0000
Se  0.4142  0.0777  0.2328
Li  0.3328  0.6672  0.0000
Se  0.9223  0.5858  0.7672
Nd  0.8329  0.1671  0.5000
Li  0.6672  0.3328  0.0000

Summary:
Its formation energy from raw total energies is -1.7315 eV per atom.

---

VASP calculation (GGA-PBE) on an optimized crystal structure of Li3NdDy2Se6.

Unit cell a=7.1317 b=7.1317 c=6.9292 alpha=99.86 beta=99.86 gamma=120.01
Fractional coordinates of all 12 atoms:
Se  0.7437  0.7437  0.2563
Se  0.5737  0.9153  0.7454
Dy  0.6666  0.3334  0.0000
Se  0.4263  0.0847  0.2546
Li  0.5000  0.5000  0.5000
Li  0.1679  0.8321  0.5000
Se  0.0847  0.4263  0.2546
Se  0.9153  0.5737  0.7454
Li  0.8321  0.1679  0.5000
Se  0.2563  0.2563  0.7437
Nd  0.0000  0.0000  0.0000
Dy  0.3334  0.6666  0.0000

Summary:
Its formation energy from raw total energies is -1.6838 eV per atom.

---

VASP calculation (GGA-PBE) on an optimized crystal structure of Li2NdDySe4.

Unit cell a=4.1395 b=7.1715 c=6.9391 alpha=110.11 beta=90.00 gamma=90.00
Fractional coordinates of all 8 atoms:
Se  0.5000  0.2601  0.2582
Se  0.0000  0.7442  0.2545
Nd  0.0000  0.0000  0.0000
Li  0.0000  0.5000  0.5000
Se  0.5000  0.7399  0.7418
Se  0.0000  0.2558  0.7455
Li  0.5000  0.0000  0.5000
Dy  0.5000  0.5000  0.0000

Summary:
Its formation energy from raw total energies is -1.6758 eV per atom.

---

VASP calculation (GGA-PBE) on an optimized crystal structure of Li3Nd2DySe6.

Unit cell a=7.2111 b=7.2111 c=6.9512 alpha=99.93 beta=99.93 gamma=120.01
Fractional coordinates of all 12 atoms:
Li  0.5000  0.5000  0.5000
Se  0.9141  0.5891  0.7421
Se  0.4109  0.0859  0.2579
Li  0.1631  0.8369  0.5000
Nd  0.6670  0.3330  0.0000
Se  0.0859  0.4109  0.2579
Dy  0.0000  0.0000  0.0000
Nd  0.3330  0.6670  0.0000
Se  0.7600  0.7600  0.2562
Li  0.8369  0.1631  0.5000
Se  0.5891  0.9141  0.7421
Se  0.2400  0.2400  0.7438

Summary:
Its formation energy from raw total energies is -1.6717 eV per atom.

---

VASP calculation (GGA-PBE) on an optimized crystal structure of LiNd3Dy2Se6.

Unit cell a=7.1298 b=7.1298 c=7.2272 alpha=99.50 beta=99.50 gamma=120.13
Fractional coordinates of all 12 atoms:
Nd  0.5000  0.5000  0.5000
Se  0.0770  0.4033  0.2327
Se  0.2474  0.2474  0.7692
Se  0.4033  0.0770  0.2327
Se  0.9230  0.5967  0.7673
Dy  0.3347  0.6653  0.0000
Nd  0.8336  0.1664  0.5000
Nd  0.1664  0.8336  0.5000
Se  0.5967  0.9230  0.7673
Dy  0.6653  0.3347  0.0000
Li  0.0000  0.0000  0.0000
Se  0.7526  0.7526  0.2308

Summary:
Its formation energy from raw total energies is -1.7804 eV per atom.

---

VASP calculation (GGA-PBE) on an optimized crystal structure of LiNd4Dy3Se8.

Unit cell a=8.2419 b=8.3224 c=8.2421 alpha=119.68 beta=120.00 gamma=90.00
Fractional coordinates of all 16 atoms:
Se  0.7592  0.2683  0.0091
Nd  0.5000  0.0000  0.5000
Se  0.7592  0.2683  0.5183
Se  0.7501  0.7317  0.9909
Nd  0.5000  0.0000  0.0000
Dy  0.0000  0.5000  0.5000
Se  0.2408  0.7317  0.4817
Dy  0.5000  0.5000  0.0000
Se  0.7454  0.7361  0.4908
Dy  0.5000  0.5000  0.5000
Li  0.0000  0.5000  0.0000
Se  0.2499  0.2683  0.0091
Se  0.2546  0.2639  0.5092
Nd  0.0000  0.0000  0.0000
Nd  0.0000  0.0000  0.5000
Se  0.2408  0.7317  0.9909

Summary:
Its formation energy from raw total energies is -1.7802 eV per atom.

---

VASP calculation (GGA-PBE) on an optimized crystal structure of Li2Nd2DySi2.

Unit cell a=4.4199 b=4.4199 c=9.8439 alpha=77.03 beta=77.03 gamma=60.00
Fractional coordinates of all 7 atoms:
Si  0.2715  0.2715  0.1854
Li  0.6113  0.6113  0.1662
Nd  0.1230  0.1230  0.6310
Li  0.3887  0.3887  0.8338
Nd  0.8770  0.8770  0.3690
Si  0.7285  0.7285  0.8146
Dy  0.0000  0.0000  0.0000

Summary:
Its formation energy from raw total energies is -0.3912 eV per atom.

---

no.,DFT total energy (eV/atom)
1,-6.143
2,-5.523
3,-6.191
4,-5.996
5,-4.330
6,-4.258
7,-5.368
8,-5.069
9,-5.068
10,-5.071
11,-5.641
12,-5.697
13,-4.507